GGA-PBE SrYSi3, relaxed; calculated total energy = -18.89 eV for the cell shown; offset from the most stable computed form = 1639.2 meV per atom; N(E_F) = 4.378 states/eV/cell
1.0
5.234 0.000 0.000
0.000 5.234 0.000
0.000 0.000 5.234
Si Y Sr
3 1 1
direct
0.500 0.000 0.000 Si
0.000 0.500 0.000 Si
0.000 0.000 0.500 Si
0.500 0.500 0.500 Y
0.000 0.000 0.000 Sr



GGA-PBE Ce5Fe2B6, relaxed; calculated total energy = -92.56 eV for the cell shown; N(E_F) = 14.168 states/eV/cell; calculated formation energy = -454 meV per atom
1.0
-5.642 2.701 -4.483
-1.905 0.205 -7.453
-5.501 -2.681 -4.667
B Ce Fe
6 5 2
direct
0.500 0.831 0.169 B
0.500 0.169 0.831 B
0.169 0.500 0.831 B
0.831 0.169 0.500 B
0.831 0.500 0.169 B
0.169 0.831 0.500 B
0.266 0.266 0.266 Ce
0.000 0.000 0.000 Ce
0.401 0.401 0.401 Ce
0.599 0.599 0.599 Ce
0.734 0.734 0.734 Ce
0.111 0.111 0.111 Fe
0.889 0.889 0.889 Fe



GGA-PBE LiMnTe2I, relaxed; calculated total energy = -18.43 eV for the cell shown; offset from the most stable computed form = 0.0 meV per atom; N(E_F) = 3.936 states/eV/cell
1.0
4.932 0.000 0.000
0.000 4.932 0.000
0.000 0.000 6.153
I Te Li Mn
1 2 1 1
direct
0.000 0.000 0.500 I
0.000 0.500 0.000 Te
0.500 0.000 0.000 Te
0.500 0.500 0.500 Li
0.000 0.000 0.000 Mn



no.,magnetization (μB per cell)
1,0.000
2,0.000
3,0.000